1.
Material: CaMg2I
Method: DFT, PBE
State: relaxed

Theoretical density in g cm⁻³: 2.70
Total magnetic moment in μB/f.u.: 0.00
Formation energy (no corrections) in eV/atom: -0.19

```
data_CaMg2I
_chemical_formula_sum 'Ca4 Mg8 I4'
_cell_length_a 9.1477
_cell_length_b 9.1477
_cell_length_c 6.3455
_cell_angle_alpha 90.00
_cell_angle_beta 90.00
_cell_angle_gamma 90.00
_symmetry_space_group_name_H-M 'I -4 2 d'
_symmetry_Int_Tables_number 122
_symmetry_space_group_name_Hall 'I -4 2bw'
loop_
_atom_site_label
_atom_site_fract_x
_atom_site_fract_y
_atom_site_fract_z
_atom_site_occupancy
Ca1 0.0000 0.0000 0.0000 1
Mg1 0.2324 0.7500 0.6250 1
I1 0.0000 0.0000 0.5000 1
```


2.
Material: Ba5Zn4Ga
Method: DFT, PBE
State: relaxed

Theoretical density in g cm⁻³: 4.88
Total magnetic moment in μB/f.u.: 0.00
Calculated formation energy in eV/atom: -0.194

```
data_Ba5Zn4Ga
_chemical_formula_sum 'Ba5 Zn4 Ga1'
_cell_length_a 4.1109
_cell_length_b 4.1109
_cell_length_c 20.5078
_cell_angle_alpha 90.00
_cell_angle_beta 90.00
_cell_angle_gamma 90.00
_symmetry_space_group_name_H-M 'P 4/m m m'
_symmetry_Int_Tables_number 123
_symmetry_space_group_name_Hall '-P 4 2'
loop_
_atom_site_label
_atom_site_fract_x
_atom_site_fract_y
_atom_site_fract_z
_atom_site_occupancy
Ba1 0.0000 0.0000 0.0000 1
Ba2 0.0000 0.0000 0.2003 1
Ba3 0.0000 0.0000 0.4013 1
Zn1 0.5000 0.5000 0.0987 1
Zn2 0.5000 0.5000 0.3002 1
Ga1 0.5000 0.5000 0.5000 1
```


3.
Material: Sc3Re2
Method: DFT, PBE
State: relaxed

Theoretical density in g cm⁻³: 8.18
Total magnetic moment in μB/f.u.: 0.00
Calculated formation energy in eV/atom: 0.170

```
data_Sc3Re2
_chemical_formula_sum 'Sc3 Re2'
_cell_length_a 4.6924
_cell_length_b 4.6924
_cell_length_c 5.3988
_cell_angle_alpha 90.00
_cell_angle_beta 90.00
_cell_angle_gamma 120.00
_symmetry_space_group_name_H-M 'P -3 m 1'
_symmetry_Int_Tables_number 164
_symmetry_space_group_name_Hall '-P 3 2"'
loop_
_atom_site_label
_atom_site_fract_x
_atom_site_fract_y
_atom_site_fract_z
_atom_site_occupancy
Sc1 0.0000 0.0000 0.0000 1
Sc2 0.3333 0.6667 0.3749 1
Re1 0.3333 0.6667 0.9060 1
```


The highest theoretical density belongs to which entry? Sc3Re2